--- P ---
5
Lattice="5.245 0.000 0.000 0.000 5.245 0.000 0.000 0.000 5.245" Properties=species:S:1:pos:R:3 comment="RbSc3Cu PBE optimized geometry" sg="Pm-3m, No. 221" magnetic_moment_mub_per_fu=0.00 pbc="T T T"
Sc 0.000 2.623 0.000
Sc 0.000 0.000 2.623
Sc 2.623 0.000 0.000
Cu 0.000 0.000 0.000
Rb 2.623 2.623 2.623

---

--- Q ---
5
Lattice="4.998 0.000 0.000 0.000 4.998 0.000 0.000 0.000 4.998" Properties=species:S:1:pos:R:3 comment="RbSc3Cu PBE optimized geometry" sg="Pm-3m, No. 221" magnetic_moment_mub_per_fu=0.00 pbc="T T T"
Sc 0.000 2.499 0.000
Sc 0.000 0.000 2.499
Sc 2.499 0.000 0.000
Cu 2.499 2.499 2.499
Rb 0.000 0.000 0.000

---

Preferred: P; penalty for the next structure: 1225 meV per atom.

---

--- P ---
5
Lattice="-3.182 1.541 3.446 1.073 -3.951 2.758 3.619 2.527 2.212" Properties=species:S:1:pos:R:3 comment="RbCu3Se PBE optimized geometry" sg="Pm-3m, No. 221" magnetic_moment_mub_per_fu=0.00 pbc="T T T"
Cu 0.537 -1.976 1.379
Cu 1.809 1.263 1.106
Cu -1.591 0.770 1.723
Se 0.000 0.000 0.000
Rb 0.755 0.058 4.208

---

--- Q ---
5
Lattice="-2.626 4.427 -0.607 -2.704 -2.135 -3.873 -3.558 -1.645 3.391" Properties=species:S:1:pos:R:3 comment="RbCu3Se PBE optimized geometry" sg="Pm-3m, No. 221" magnetic_moment_mub_per_fu=0.00 pbc="T T T"
Cu -1.352 -1.067 -1.936
Cu -1.779 -0.823 1.695
Cu -1.313 2.214 -0.304
Se -4.444 0.324 -0.545
Rb 0.000 0.000 0.000

---

Preferred: P; penalty for the next structure: 1353 meV per atom.

---

--- P ---
10
Lattice="-3.234 -5.006 -2.412 1.787 -3.579 5.033 -4.880 1.726 2.961" Properties=species:S:1:pos:R:3 comment="Rb2CuSi2 PBE optimized geometry" sg="P4/mbm, No. 127" magnetic_moment_mub_per_fu=0.00 pbc="T T T"
Si 0.364 -4.935 3.477
Si -1.669 -6.605 1.099
Si -1.810 -3.650 -0.856
Si 0.223 -1.980 1.522
Cu 0.000 0.000 0.000
Cu -0.723 -4.293 1.310
Rb -1.809 -2.484 4.472
Rb -3.181 -5.478 3.956
Rb -4.518 -4.375 1.109
Rb -3.146 -1.381 1.625

---

--- Q ---
5
Lattice="3.612 0.000 0.000 0.000 3.612 0.000 1.806 1.806 10.989" Properties=species:S:1:pos:R:3 comment="Rb2CuSi2 PBE optimized geometry" sg="I4/mmm, No. 139" magnetic_moment_mub_per_fu=0.00 pbc="T T T"
Si 3.612 1.806 5.494
Si 1.806 3.612 5.494
Cu 0.000 0.000 0.000
Rb 1.806 1.806 2.306
Rb 3.612 3.612 8.683

---

--- R ---
10
Lattice="10.351 0.000 0.000 0.000 10.351 0.000 0.000 0.000 3.169" Properties=species:S:1:pos:R:3 comment="Rb2CuSi2 PBE optimized geometry" sg="P4/mbm, No. 127" magnetic_moment_mub_per_fu=0.00 pbc="T T T"
Si 0.783 5.959 1.585
Si 5.959 9.567 1.585
Si 9.567 4.392 1.585
Si 4.392 0.783 1.585
Cu 0.000 0.000 0.000
Cu 5.175 5.175 0.000
Rb 2.971 8.146 0.000
Rb 8.146 7.380 0.000
Rb 7.380 2.205 0.000
Rb 2.205 2.971 0.000

---

Preferred: P; penalty for the next structure: 87 meV per atom.

---

--- P ---
5
Lattice="-2.084 0.222 4.327 2.416 -3.926 1.365 3.596 2.766 1.590" Properties=species:S:1:pos:R:3 comment="RbCuSi3 PBE optimized geometry" sg="Pm-3m, No. 221" magnetic_moment_mub_per_fu=0.00 pbc="T T T"
Si 1.208 -1.963 0.683
Si 1.798 1.383 0.795
Si -1.042 0.111 2.163
Cu 0.000 0.000 0.000
Rb 1.964 -0.469 3.641

---

--- Q ---
5
Lattice="-0.627 -2.690 4.711 2.954 -4.148 -1.975 4.551 2.321 1.931" Properties=species:S:1:pos:R:3 comment="RbCuSi3 PBE optimized geometry" sg="Pm-3m, No. 221" magnetic_moment_mub_per_fu=0.00 pbc="T T T"
Si 1.477 -2.074 -0.987
Si 2.275 1.161 0.965
Si -0.313 -1.345 2.356
Cu 3.439 -2.258 2.334
Rb 0.000 0.000 0.000

---

Preferred: P; penalty for the next structure: 1805 meV per atom.

---

--- P ---
5
Lattice="4.690 0.000 0.000 0.000 4.690 0.000 0.000 0.000 4.690" Properties=species:S:1:pos:R:3 comment="RbCu3Si PBE optimized geometry" sg="Pm-3m, No. 221" magnetic_moment_mub_per_fu=0.00 pbc="T T T"
Si 0.000 0.000 0.000
Cu 0.000 2.345 0.000
Cu 0.000 0.000 2.345
Cu 2.345 0.000 0.000
Rb 2.345 2.345 2.345

---

--- Q ---
5
Lattice="5.160 0.000 0.000 0.000 5.160 0.000 0.000 0.000 5.160" Properties=species:S:1:pos:R:3 comment="RbCu3Si PBE optimized geometry" sg="Pm-3m, No. 221" magnetic_moment_mub_per_fu=0.00 pbc="T T T"
Si 2.580 2.580 2.580
Cu 0.000 2.580 0.000
Cu 0.000 0.000 2.580
Cu 2.580 0.000 0.000
Rb 0.000 0.000 0.000

---

Preferred: P; penalty for the next structure: 1798 meV per atom.

---

--- P ---
5
Lattice="-3.188 -4.119 -1.075 1.821 -0.105 -4.996 3.848 -3.363 1.473" Properties=species:S:1:pos:R:3 comment="RbCuSn3 PBE optimized geometry" sg="Pm-3m, No. 221" magnetic_moment_mub_per_fu=0.00 pbc="T T T"
Cu 0.000 0.000 0.000
Sn 0.910 -0.053 -2.498
Sn 1.924 -1.681 0.737
Sn -1.594 -2.060 -0.537
Rb 1.240 -3.794 -2.299

---

--- Q ---
5
Lattice="-4.175 2.283 -1.194 -0.236 -2.611 -4.147 -5.270 -4.293 0.085" Properties=species:S:1:pos:R:3 comment="RbCuSn3 PBE optimized geometry" sg="Cm, No. 8" magnetic_moment_mub_per_fu=0.00 pbc="T T T"
Rb -6.510 -3.531 -1.228
Cu -3.703 -4.851 -3.456
Sn -5.147 -2.836 -4.632
Sn -2.936 -2.679 -1.965
Sn -4.035 -0.199 -3.450

---

--- R ---
5
Lattice="-0.637 -1.114 -5.970 -1.584 -5.765 1.244 -5.863 1.678 0.312" Properties=species:S:1:pos:R:3 comment="RbCuSn3 PBE optimized geometry" sg="Pm-3m, No. 221" magnetic_moment_mub_per_fu=0.00 pbc="T T T"
Cu -4.042 -2.600 -2.207
Sn -0.792 -2.882 0.622
Sn -2.932 0.839 0.156
Sn -0.318 -0.557 -2.985
Rb 0.000 0.000 0.000

---

Preferred: Q; penalty for the next structure: 262 meV per atom.